Material: MnTlPbF6
Method: DFT, PBE with a Hubbard U
State: optimized geometry

## Properties
The value obtained for the theoretical density is 6.1 Mg/m³. The calculation puts the total energy at -45.4 eV/cell.

a b c (Å): 6.121 5.878 5.085
angles (deg): 89.91 89.83 60.16
Site moments in Bohr magnetons follow the coordinates.
Fractional coordinates of all 9 atoms:
Mn  0.666  0.663  0.474  3.86
Tl  0.004  0.999  0.076  -0.01
Pb  0.318  0.331  0.591  0.01
F  0.023  0.431  0.264  0.04
F  0.332  0.927  0.688  0.04
F  0.746  0.365  0.680  -0.01
F  0.873  0.743  0.686  -0.01
F  0.470  0.563  0.265  -0.01
F  0.569  0.978  0.276  -0.01